Entry 1:
VASP calculation (PBE) on K4PaTe5 after structural relaxation.

Properties
energy above the most stable polymorph in this dataset = 0.0646 eV/atom

abc: 11.7546 11.7546 6.0611
angles: 90.00 90.00 90.00
Closest atoms and distances in Å follow each position.
Space group I4/mmm (No. 139)
Symmetry-distinct sites (fractional):
K (0.0000, 0.2792, 0.0000)  1 Te 3.28
Pa (0.0000, 0.0000, 0.5000)  6 Te 3.00-3.03
Te (0.0000, 0.0000, 0.0000)  2 Pa 3.03, 4 K 3.28
Te (0.1806, 0.1806, 0.5000)  1 Pa 3.00



Entry 2:
VASP calculation (PBE) on KPa5Te12 after structural relaxation.

abc: 9.6821 10.0021 11.6662
angles: 90.00 90.00 90.00
Closest atoms and distances in Å follow each position.
Space group Immm (No. 71)
Symmetry-distinct sites (fractional):
K (0.0000, 0.0000, 0.0000)  8 Te 3.37-3.71
Pa (0.0000, 0.0000, 0.5000)  8 Te 3.26-3.30, 2 Pa 3.34
Pa (0.0000, 0.3340, 0.5000)  8 Te 3.01-3.28, 2 Pa 3.32-3.34
Pa (0.0000, 0.5000, 0.1590)  6 Te 2.95-3.21
Te (0.0000, 0.1902, 0.2732)  2 Pa 3.01-3.26
Te (0.2073, 0.3309, 0.0000)  4 Pa 3.21-3.30, 1 Te 3.38
Te (0.2067, 0.5000, 0.3442)  3 Pa 2.95-3.17



Entry 3:
VASP calculation (PBE) on KPaTe4 after structural relaxation.

Properties
energy above the most stable polymorph in this dataset = 0.0000 eV/atom

abc: 6.8950 6.8950 8.8266
angles: 90.00 90.00 90.00
Closest atoms and distances in Å follow each position.
Space group P4/nbm (No. 125, origin choice 2)
Symmetry-distinct sites (fractional):
K (0.2500, 0.2500, 0.0000)  8 Te 3.70
Pa (0.2500, 0.2500, 0.5000)  8 Te 3.15
Te (0.0923, 0.5923, 0.2987)  1 Te 3.08, 2 Pa 3.15



Entry 4:
VASP calculation (PBE) on KPa4Te8 after structural relaxation.

Properties
energy above the most stable polymorph in this dataset = 0.0000 eV/atom

abc: 8.2827 8.2827 18.6225
angles: 90.00 90.00 120.00
Closest atoms and distances in Å follow each position.
Space group P6_3/mmc (No. 194)
Symmetry-distinct sites (fractional):
K (0.0000, 0.0000, 0.0000)  6 Te 3.62
Pa (0.0000, 0.0000, 0.2500)  6 Te 3.10
Pa (0.0044, 0.5022, 0.2500)  6 Te 3.08-3.09
Te (0.1679, 0.3358, 0.6454)  3 Pa 3.09-3.10
Te (0.3333, 0.6667, 0.1439)  3 Pa 3.08



Entry 5:
VASP calculation (PBE) on K2Pa3Te6 after structural relaxation.

abc: 7.5142 13.0196 9.0404
angles: 90.00 106.18 90.00
Closest atoms and distances in Å follow each position.
Space group C2/m (No. 12)
Symmetry-distinct sites (fractional):
K (0.0000, 0.1662, 0.0000)  6 Te 3.54
Pa (0.0000, 0.0000, 0.5000)  6 Te 3.11-3.13
Pa (0.0000, 0.3318, 0.5000)  6 Te 3.11-3.13
Te (0.2340, 0.5000, 0.7120)  3 Pa 3.11-3.13
Te (0.2403, 0.1648, 0.7141)  3 Pa 3.11-3.13



Entry 6:
VASP calculation (PBE) on K3PaTe8 after structural relaxation.

abc: 9.3881 9.3881 11.2218
angles: 90.00 90.00 90.00
Closest atoms and distances in Å follow each position.
Space group I-42m (No. 121)
Symmetry-distinct sites (fractional):
K (0.0000, 0.0000, 0.0000)  8 Te 3.54-3.77
K (0.0000, 0.5000, 0.2500)  4 Te 3.61
Pa (0.0000, 0.0000, 0.5000)  8 Te 3.08-3.10
Te (0.1470, 0.1470, 0.2875)  1 Te 2.81, 1 Pa 3.08
Te (0.2334, 0.2334, 0.5161)  1 Te 2.81, 1 Pa 3.10



Entry 7:
VASP calculation (PBE) on KPaTe4 after structural relaxation.

Properties
energy above the most stable polymorph in this dataset = 0.0258 eV/atom

abc: 15.6187 7.8480 8.1215
angles: 90.00 93.52 90.00
Closest atoms and distances in Å follow each position.
Space group C2/m (No. 12)
Symmetry-distinct sites (fractional):
K (0.1910, 0.0000, 0.1681)  7 Te 3.64-4.06
Pa (0.0421, 0.5000, 0.2675)  5 Te 2.90-3.09
Te (0.0000, 0.2464, 0.0000)  2 Pa 2.99
Te (0.0873, 0.2434, 0.5489)  1 Te 2.79, 1 Pa 3.09
Te (0.2265, 0.5000, 0.2412)  1 Pa 2.90



Entry 8:
VASP calculation (PBE) on K5Pa3Te8 after structural relaxation.

abc: 9.2288 9.2288 24.7419
angles: 90.00 90.00 120.00
Closest atoms and distances in Å follow each position.
Space group R-3m (No. 166, hexagonal axes)
Symmetry-distinct sites (fractional):
K (0.0000, 0.0000, 0.0000)  6 Te 3.42
K (0.0000, 0.0000, 0.5000)  6 Te 3.35
K (0.0000, 0.5000, 0.0000)  6 Te 3.58-3.64
Pa (0.0000, 0.5000, 0.5000)  6 Te 3.11-3.18
Te (0.0000, 0.0000, 0.2366)  3 Pa 3.18
Te (0.0241, 0.5120, 0.7624)  2 Pa 3.11, 2 K 3.35-3.42



| no. | total moment (μB/f.u.) | formation energy without anion corrections (meV per atom) |
| --- | --- | --- |
| 1 | 0.0 | -856 |
| 2 | 1.7 | -729 |
| 3 | 0.0 | -740 |
| 4 | 5.0 | -814 |
| 5 | 5.0 | -910 |
| 6 | 0.0 | -683 |
| 7 | 0.0 | -715 |
| 8 | 4.0 | -984 |